[1]
A plane-wave DFT calculation with PBE was carried out for BaCu2Cl7 after structural relaxation.

Unit cell a=4.085 b=9.723 c=9.723 alpha=135.05 beta=90.00 gamma=90.00
Atoms (fractional coordinates):
Cl (0.500, 0.307, 0.069)
Cl (0.000, 0.311, 0.689)
Cl (0.500, 0.069, 0.307)
Cl (0.500, 0.500, 0.500)
Cl (0.500, 0.931, 0.693)
Cu (0.500, 0.371, 0.629)
Cl (0.000, 0.689, 0.311)
Ba (0.000, 0.000, 0.000)
Cl (0.500, 0.693, 0.931)
Cu (0.500, 0.629, 0.371)

Results
SG: Cmmm
Final energy in eV/f.u.: -32.3
Total magnetization in μB per formula unit: 0.0

=====

[2]
A plane-wave DFT calculation with PBE was carried out for BeRuPt2 after structural relaxation.

Unit cell a=5.188 b=5.188 c=5.188 alpha=149.18 beta=130.89 gamma=59.11
Atoms (fractional coordinates):
Pt (0.042, 0.042, 0.000)
Ru (0.461, 0.461, 0.000)
Be (0.249, 0.749, 0.500)
Pt (0.748, 0.248, 0.500)

Results
SG: Imm2
Final energy in eV/f.u.: -25.9
Total magnetization in μB per formula unit: 0.0

=====

[3]
A plane-wave DFT calculation with PBE was carried out for Cd2CoRe after structural relaxation.

Unit cell a=5.417 b=5.417 c=2.715 alpha=80.36 beta=80.36 gamma=118.69
Atoms (fractional coordinates):
Cd (0.000, 0.000, 0.000)
Co (0.500, 0.000, 0.500)
Re (0.000, 0.500, 0.500)
Cd (0.500, 0.500, 0.000)

Results
SG: C2/m
Energy above the lowest structure with this stoichiometry in meV/atom: 394
Total magnetization in μB per formula unit: 1.6

=====

[4]
A plane-wave DFT calculation with PBE was carried out for Nd2Sm5Ho after structural relaxation.

Unit cell a=5.117 b=7.261 c=14.531 alpha=90.00 beta=90.00 gamma=90.00
Atoms (fractional coordinates):
Sm (0.000, 0.000, 0.000)
Nd (0.500, 0.249, 0.624)
Sm (0.000, 0.499, 0.751)
Nd (0.500, 0.749, 0.876)
Sm (0.000, 0.001, 0.251)
Sm (0.000, 0.501, 0.249)
Ho (0.000, 0.500, 0.000)
Sm (0.500, 0.750, 0.625)
Ho (0.000, 0.000, 0.500)
Sm (0.500, 0.250, 0.375)
Sm (0.500, 0.750, 0.125)
Sm (0.000, 0.999, 0.749)
Nd (0.500, 0.251, 0.124)
Sm (0.000, 0.500, 0.500)
Nd (0.500, 0.751, 0.376)
Sm (0.500, 0.250, 0.875)

Results
SG: Pbam
Final energy in eV/f.u.: -37.6
Total magnetization in μB per formula unit: 0.0